[1]
Ta2Ga2P PBE relaxed; energy relative to the lowest polymorph listed for this composition = 172.9 meV per atom; total energy = -7.08 eV per atom; size of the total moment = 0.0 μB per cell; formation enthalpy at 0 K = -0.047 eV/atom
1.0
3.436 0.000 0.000
0.000 3.436 0.000
0.000 0.000 14.191
Ta Ga P
4 4 2
Cartesian
0.000 0.000 1.350 Ta
0.000 0.000 12.841 Ta
1.718 1.718 5.746 Ta
1.718 1.718 8.446 Ta
0.000 1.718 3.548 Ga
0.000 1.718 10.644 Ga
1.718 0.000 3.548 Ga
1.718 0.000 10.644 Ga
0.000 0.000 7.096 P
1.718 1.718 0.000 P

***

[2]
LaPmTmTh PBE relaxed; energy relative to the lowest polymorph listed for this composition = 116.7 meV per atom; total energy = -5.25 eV per atom; size of the total moment = 0.0 μB per cell; formation enthalpy at 0 K = 0.142 eV/atom
1.0
8.124 0.000 0.000
0.000 8.124 0.000
0.000 0.000 8.124
La Pm Tm Th
4 4 4 4
Cartesian
0.000 0.000 0.000 La
0.000 4.062 4.062 La
4.062 0.000 4.062 La
4.062 4.062 0.000 La
2.031 2.031 2.031 Pm
2.031 6.093 6.093 Pm
6.093 2.031 6.093 Pm
6.093 6.093 2.031 Pm
2.031 2.031 6.093 Tm
2.031 6.093 2.031 Tm
6.093 2.031 2.031 Tm
6.093 6.093 6.093 Tm
0.000 0.000 4.062 Th
0.000 4.062 0.000 Th
4.062 0.000 0.000 Th
4.062 4.062 4.062 Th

***

[3]
YMn2 PBE relaxed; total energy = -7.98 eV per atom; size of the total moment = 0.0 μB per cell; formation enthalpy at 0 K = 0.285 eV/atom
1.0
2.984 0.000 0.000
0.000 2.984 0.000
0.000 0.000 10.906
Y Mn
2 4
Cartesian
0.000 0.000 0.000 Y
1.492 1.492 5.453 Y
0.000 0.000 3.198 Mn
0.000 0.000 7.708 Mn
1.492 1.492 2.255 Mn
1.492 1.492 8.651 Mn

***

[4]
Y6HoEr5 PBE relaxed; total energy = -5.49 eV per atom; size of the total moment = 0.0 μB per cell; formation enthalpy at 0 K = 0.026 eV/atom
1.0
2.503 -7.519 0.000
2.503 7.519 0.000
0.000 0.000 10.001
Y Ho Er
6 1 5
Cartesian
0.000 0.000 2.502 Y
0.000 0.000 7.499 Y
2.503 2.506 2.502 Y
2.503 2.506 7.499 Y
2.503 -2.506 2.502 Y
2.503 -2.506 7.499 Y
2.503 0.000 0.000 Ho
2.503 5.010 0.000 Er
2.503 5.012 5.001 Er
2.503 0.000 5.001 Er
2.503 -5.010 0.000 Er
2.503 -5.012 5.001 Er

***

[5]
YAl3Rh PBE relaxed; total energy = -5.44 eV per atom; size of the total moment = 0.0 μB per cell; formation enthalpy at 0 K = -0.427 eV/atom
1.0
4.685 0.000 0.000
0.000 4.685 0.000
0.000 0.000 4.685
Y Al Rh
1 3 1
Cartesian
0.000 0.000 0.000 Y
0.000 2.343 2.343 Al
2.343 0.000 2.343 Al
2.343 2.343 0.000 Al
2.343 2.343 2.343 Rh

***

[6]
SrPm4Au5 PBE relaxed; total energy = -4.48 eV per atom; size of the total moment = 0.0 μB per cell; formation enthalpy at 0 K = -0.776 eV/atom
1.0
3.708 0.000 0.000
0.000 3.708 0.000
0.000 0.000 18.800
Sr Pm Au
1 4 5
Cartesian
0.000 0.000 0.000 Sr
0.000 0.000 3.830 Pm
0.000 0.000 7.558 Pm
0.000 0.000 11.243 Pm
0.000 0.000 14.971 Pm
1.854 1.854 2.158 Au
1.854 1.854 5.696 Au
1.854 1.854 9.400 Au
1.854 1.854 13.104 Au
1.854 1.854 16.642 Au